11
Lattice="1.8232 1.0526 32.7455 -1.8232 1.0526 32.7455 0.0000 -2.1052 32.7455" Properties=species:S:1:pos:R:3 comment="Pm3Nd6Dy2, relaxed, DFT PBE-GGA" relative_energy_ev_per_atom=0.0000 density_g_cm3=7.2 final_energy_ev_per_atom=-4.7206 spacegroup="No. 166" formation_enthalpy_0k_mev_per_atom=12 pbc="T T T"
Pm 0.0000 0.0000 0.0000
Pm 0.0000 0.0000 26.7529
Pm 0.0000 0.0000 71.4835
Nd 0.0000 0.0000 9.0030
Nd 0.0000 0.0000 17.8952
Nd 0.0000 0.0000 35.7462
Nd 0.0000 0.0000 62.4903
Nd 0.0000 0.0000 80.3412
Nd 0.0000 0.0000 89.2334
Dy 0.0000 0.0000 44.6704
Dy 0.0000 0.0000 53.5661

4
Lattice="-2.0207 2.0207 3.9190 2.0207 -2.0207 3.9190 2.0207 2.0207 -3.9190" Properties=species:S:1:pos:R:3 comment="CdTc2Mo, relaxed, DFT PBE-GGA" density_g_cm3=10.5 final_energy_ev_per_atom=-7.6734 spacegroup="No. 139" formation_enthalpy_0k_mev_per_atom=446 pbc="T T T"
Cd 0.0000 0.0000 0.0000
Tc 2.0207 0.0000 1.9595
Tc 0.0000 2.0207 1.9595
Mo 0.0000 0.0000 3.9190